Pu2ZnPd5: relaxed, GGA-PBE.

The structure in extended XYZ format:
```
8
Lattice="-3.0228 3.0228 4.0271 3.0228 -3.0228 4.0271 3.0228 3.0228 -4.0271" Properties=species:S:1:pos:R:3 pbc="T T T"
Pu 3.0228 0.0000 0.0000
Pu 0.0000 3.0228 0.0000
Zn 0.0000 0.0000 0.6486
Pd 0.0000 0.0000 3.9640
Pd 1.5918 1.5918 2.0531
Pd 1.4311 -1.4311 6.0802
Pd -1.4311 1.4311 6.0802
Pd 1.4311 1.4311 6.0802
```

The calculation puts the formation energy from the elements at -0.4608 eV per atom.

NpInPd4: relaxed, GGA-PBE.

The structure in extended XYZ format:
```
6
Lattice="0.0000 3.8153 3.8153 3.8153 0.0000 3.8153 3.8153 3.8153 0.0000" Properties=species:S:1:pos:R:3 pbc="T T T"
Np 0.0000 0.0000 0.0000
In 1.9077 1.9077 1.9077
Pd 4.7665 2.8641 2.8641
Pd 2.8641 4.7665 2.8641
Pd 2.8641 2.8641 4.7665
Pd 4.7665 4.7665 4.7665
```

Its offset from the most stable computed form is 0.0000 eV/atom. The calculation puts the formation energy from the elements at -0.3638 eV per atom.

Ac2TmMgTl6: relaxed, GGA-PBE.

The structure in extended XYZ format:
```
10
Lattice="6.4761 0.0000 0.0000 2.8303 6.9282 0.0000 2.9655 0.8592 7.0588" Properties=species:S:1:pos:R:3 pbc="T T T"
Ac 1.5097 1.9861 1.8347
Ac 10.7622 5.8013 5.2242
Tm 4.6532 3.4641 0.0000
Mg 4.7208 0.4296 3.5294
Tl 2.8491 5.6044 1.4765
Tl 4.7428 3.2343 2.9853
Tl 6.1160 1.9101 5.7227
Tl 6.1559 5.8772 1.3361
Tl 7.5291 4.5531 4.0735
Tl 9.4228 2.1830 5.5823
```

The calculation puts the formation energy from the elements at -0.1368 eV per atom.

K2Rb4GaPb2: relaxed, GGA-PBE.

The structure in extended XYZ format:
```
9
Lattice="7.8297 -4.2581 0.0000 7.8297 4.2581 0.0000 -2.1424 0.0000 6.8396" Properties=species:S:1:pos:R:3 pbc="T T T"
K 1.6079 0.0000 1.8263
K 11.9091 0.0000 5.0133
Rb 5.3045 1.9784 1.8077
Rb 8.2125 1.9784 5.0319
Rb 5.3045 -1.9784 1.8077
Rb 8.2125 -1.9784 5.0319
Ga 7.8297 0.0000 0.0000
Pb 3.7019 0.0000 5.0397
Pb 9.8152 0.0000 1.7999
```

The calculation puts the formation energy from the elements at -0.0512 eV per atom.